An optimized crystal structure of Pu2PaCu. Source: Alexandria via LeMat-Bulk, functional PBE-GGA.

Structure (POSCAR):
```
Pu2PaCu
1.0
3.470 0.000 0.000
0.000 3.470 0.000
0.000 0.000 7.259
Pu Pa Cu
2 1 1
direct
0.000 0.000 0.228 Pu
0.000 0.000 0.772 Pu
0.500 0.500 0.500 Pa
0.500 0.500 0.000 Cu
```

As for the total moment: 10.8 μB/cell. As for the crystal system: tetragonal. The formation energy is 0.105 eV/atom. As for the energy above the most stable polymorph in this dataset: 0.0 meV per atom.



An optimized crystal structure of PuPa2Cu. Source: Alexandria via LeMat-Bulk, functional PBE-GGA.

Structure (POSCAR):
```
PuPa2Cu
1.0
0.000 3.473 3.473
3.473 0.000 3.473
3.473 3.473 0.000
Pu Pa Cu
1 2 1
direct
0.000 0.000 0.000 Pu
0.250 0.250 0.250 Pa
0.750 0.750 0.750 Pa
0.500 0.500 0.500 Cu
```

As for the total moment: 6.3 μB/cell. As for the crystal system: cubic. The formation energy is 0.075 eV/atom. As for the energy above the most stable polymorph in this dataset: 51.6 meV per atom.



An optimized crystal structure of Pu2PaCu. Source: Alexandria via LeMat-Bulk, functional PBE-GGA.

Structure (POSCAR):
```
Pu2PaCu
1.0
4.330 0.000 0.000
0.000 4.330 0.000
0.000 0.000 4.741
Pu Pa Cu
2 1 1
direct
0.000 0.500 0.000 Pu
0.500 0.000 0.000 Pu
0.000 0.000 0.500 Pa
0.500 0.500 0.500 Cu
```

As for the total moment: 11.6 μB/cell. As for the crystal system: tetragonal. The formation energy is 0.223 eV/atom. As for the energy above the most stable polymorph in this dataset: 118.7 meV per atom.



Q: Number 1 is which compound?
A: Pu2PaCu



Q: The highest total moment belongs to which entry?
A: number 3



Copy entry 3 word for word.
An optimized crystal structure of Pu2PaCu. Source: Alexandria via LeMat-Bulk, functional PBE-GGA.

Structure (POSCAR):
```
Pu2PaCu
1.0
4.330 0.000 0.000
0.000 4.330 0.000
0.000 0.000 4.741
Pu Pa Cu
2 1 1
direct
0.000 0.500 0.000 Pu
0.500 0.000 0.000 Pu
0.000 0.000 0.500 Pa
0.500 0.500 0.500 Cu
```

As for the total moment: 11.6 μB/cell. As for the crystal system: tetragonal. The formation energy is 0.223 eV/atom. As for the energy above the most stable polymorph in this dataset: 118.7 meV per atom.



Q: Among the records above, which one has the lowest total moment?
A: PuPa2Cu